Entry 1:
Material: Pr5HoAg4
Method: DFT, PBE
State: relaxed

Lattice parameters (Å, degrees): 3.7438 3.7438 20.3074 90.00 90.00 90.00
With the nearest neighbours (Å) after each atom.
Fractional positions:
Pr (0.0000, 0.0000, 0.0000)  8 Ag 3.27
Pr (0.0000, 0.0000, 0.1902)  8 Ag 3.28
Pr (0.0000, 0.0000, 0.3792)  4 Ag 3.25, 4 Ho 3.61
Pr (0.0000, 0.0000, 0.6208)  4 Ag 3.25, 4 Ho 3.61
Pr (0.0000, 0.0000, 0.8098)  8 Ag 3.28
Ho (0.5000, 0.5000, 0.5000)  8 Pr 3.61, 4 Ho 3.74
Ag (0.5000, 0.5000, 0.0947)  8 Pr 3.27-3.28
Ag (0.5000, 0.5000, 0.2860)  8 Pr 3.25-3.28
Ag (0.5000, 0.5000, 0.7140)  8 Pr 3.25-3.28
Ag (0.5000, 0.5000, 0.9053)  8 Pr 3.27-3.28

Volume = 28.5 Å³ per atom
ΔH_f (0 K) = -1.85 eV per formula unit
Density of states at the Fermi level = 11.01 states/eV/cell

***

Entry 2:
Material: Cs2RbS
Method: DFT, PBE
State: relaxed

Lattice parameters (Å, degrees): 13.9457 13.9457 13.9457 21.39 21.39 21.39
With the nearest neighbours (Å) after each atom.
Fractional positions:
Cs (0.1279, 0.1279, 0.1279)  3 S 3.38
Cs (0.8721, 0.8721, 0.8721)  3 S 3.38
Rb (0.0000, 0.0000, 0.0000)  6 Rb 5.18, 2 Cs 5.23
S (0.5000, 0.5000, 0.5000)  6 Cs 3.38

Volume = 79.0 Å³ per atom
Formation energy without anion corrections = -0.643 eV/atom
Polymorph energy (0 for the lowest one) = 0.0284 eV/atom
Density of states at the Fermi level = 5.55 states/eV/cell

***

Entry 3:
Material: PuZrMoRh
Method: DFT, PBE
State: relaxed

Lattice parameters (Å, degrees): 4.7387 4.7387 4.7387 60.00 60.00 60.00
With the nearest neighbours (Å) after each atom.
Fractional positions:
Pu (0.0000, 0.0000, 0.0000)  4 Rh 2.90, 4 Mo 2.90
Zr (0.5000, 0.5000, 0.5000)  4 Mo 2.90, 4 Rh 2.90
Mo (0.2500, 0.2500, 0.2500)  4 Zr 2.90, 4 Pu 2.90
Rh (0.7500, 0.7500, 0.7500)  4 Zr 2.90, 4 Pu 2.90

Volume = 18.8 Å³ per atom
ΔH_f (0 K) = -0.82 eV per formula unit
Density of states at the Fermi level = 5.55 states/eV/cell

***

Entry 4:
Material: CaAsPt4
Method: DFT, PBE
State: relaxed

Lattice parameters (Å, degrees): 5.3782 5.3782 5.3782 60.00 60.00 60.00
With the nearest neighbours (Å) after each atom.
Fractional positions:
Ca (0.0000, 0.0000, 0.0000)  12 Pt 3.15, 4 As 3.29
As (0.2500, 0.2500, 0.2500)  12 Pt 3.15, 4 Ca 3.29
Pt (0.1257, 0.6248, 0.6248)  6 Pt 2.68-2.69
Pt (0.6248, 0.1257, 0.6248)  6 Pt 2.68-2.69
Pt (0.6248, 0.6248, 0.1257)  6 Pt 2.68-2.69
Pt (0.6248, 0.6248, 0.6248)  6 Pt 2.68-2.69

Volume = 18.3 Å³ per atom
ΔH_f (0 K) = -2.33 eV per formula unit
Density of states at the Fermi level = 6.34 states/eV/cell

***

Entry 5:
Material: GeBiS2Cl
Method: DFT, PBE
State: relaxed

Lattice parameters (Å, degrees): 4.8800 4.8800 4.7577 90.00 90.00 90.00
With the nearest neighbours (Å) after each atom.
Fractional positions:
Ge (0.0000, 0.0000, 0.0000)  2 Cl 2.38, 4 S 2.44
Bi (0.5000, 0.5000, 0.5000)  8 S 3.41, 4 Cl 3.45
S (0.0000, 0.5000, 0.0000)  2 Ge 2.44
S (0.5000, 0.0000, 0.0000)  2 Ge 2.44
Cl (0.0000, 0.0000, 0.5000)  2 Ge 2.38

Volume = 22.7 Å³ per atom
Formation energy without anion corrections = 0.000 eV/atom
Polymorph energy (0 for the lowest one) = 0.0000 eV/atom
Density of states at the Fermi level = 2.41 states/eV/cell

***

Entry 6:
Material: CdH4Ru
Method: DFT, PBE
State: relaxed

Lattice parameters (Å, degrees): 5.0797 4.4673 4.9151 90.00 111.93 90.00
With the nearest neighbours (Å) after each atom.
Fractional positions:
Cd (0.0000, 0.0000, 0.0000)  4 H 1.96-2.19
Cd (0.0000, 0.5000, 0.5000)  4 H 1.96-2.19
H (0.1504, 0.0599, 0.4261)  1 Ru 1.70
H (0.1504, 0.4401, 0.9261)  1 Ru 1.70
H (0.4191, 0.6661, 0.2875)  2 Ru 1.77-1.78
H (0.4191, 0.8339, 0.7875)  2 Ru 1.77-1.78
H (0.5809, 0.1661, 0.2125)  2 Ru 1.77-1.78
H (0.5809, 0.3339, 0.7125)  2 Ru 1.77-1.78
H (0.8496, 0.5599, 0.0739)  1 Ru 1.70
H (0.8496, 0.9401, 0.5739)  1 Ru 1.70
Ru (0.5000, 0.0000, 0.5000)  6 H 1.70-1.78
Ru (0.5000, 0.5000, 0.0000)  6 H 1.70-1.78

Volume = 8.6 Å³ per atom
Polymorph energy (0 for the lowest one) = 0.0334 eV/atom

***

Entry 7:
Material: NdMg2SnGe
Method: DFT, PBE
State: relaxed

Lattice parameters (Å, degrees): 8.2542 8.2542 7.8180 90.00 90.00 150.61
With the nearest neighbours (Å) after each atom.
Fractional positions:
Nd (0.0982, 0.9018, 0.7500)  2 Ge 3.25, 4 Sn 3.26, 4 Mg 3.48
Nd (0.9018, 0.0982, 0.2500)  2 Ge 3.25, 4 Sn 3.26, 4 Mg 3.48
Mg (0.3196, 0.6804, 0.5642)  3 Ge 2.72-2.76, 1 Mg 2.90, 1 Sn 2.92
Mg (0.3196, 0.6804, 0.9358)  3 Ge 2.72-2.76, 1 Mg 2.90, 1 Sn 2.92
Mg (0.6804, 0.3196, 0.0642)  3 Ge 2.72-2.76, 1 Mg 2.90, 1 Sn 2.92
Mg (0.6804, 0.3196, 0.4358)  3 Ge 2.72-2.76, 1 Mg 2.90, 1 Sn 2.92
Sn (0.5000, 0.5000, 0.0000)  2 Mg 2.92, 4 Nd 3.26
Sn (0.5000, 0.5000, 0.5000)  2 Mg 2.92, 4 Nd 3.26
Ge (0.2462, 0.7538, 0.2500)  6 Mg 2.72-2.76
Ge (0.7538, 0.2462, 0.7500)  6 Mg 2.72-2.76

Volume = 26.1 Å³ per atom
ΔH_f (0 K) = -1.70 eV per formula unit
Density of states at the Fermi level = 2.95 states/eV/cell